[1]
Material: KAc2TeO6
Method: DFT, PBE
State: relaxed

Geometry as POSCAR:
```
KAc2TeO6
1.0
3.1379 1.8117 5.3175
-3.1379 1.8117 5.3175
0.0000 -3.6234 5.3175
K Ac Te O
1 2 1 6
Direct
0.0000 0.0000 0.0000 K
0.2627 0.2627 0.2627 Ac
0.7736 0.7736 0.7736 Ac
0.4755 0.4755 0.4755 Te
0.1400 0.6413 0.4008 O
0.2210 0.5715 0.8287 O
0.4008 0.1400 0.6413 O
0.5715 0.8287 0.2210 O
0.6413 0.4008 0.1400 O
0.8287 0.2210 0.5715 O
```

Output
- Calculated total energy: -6.481 eV/atom

***

[2]
Material: BaInHg3
Method: DFT, PBE
State: relaxed

Geometry as POSCAR:
```
BaInHg3
1.0
6.5922 0.0000 0.0000
0.0000 14.0862 0.0000
0.0000 0.0000 6.4781
Ba In Hg
4 4 12
Direct
0.0000 0.0000 0.0000 Ba
0.0000 0.5000 0.0000 Ba
0.5000 0.0000 0.5000 Ba
0.5000 0.5000 0.5000 Ba
0.1889 0.2500 0.1762 In
0.3111 0.7500 0.6762 In
0.6889 0.2500 0.3238 In
0.8111 0.7500 0.8238 In
0.0035 0.1103 0.4974 Hg
0.0035 0.3897 0.4974 Hg
0.1599 0.7500 0.1676 Hg
0.3401 0.2500 0.6676 Hg
0.4965 0.6103 0.9974 Hg
0.4965 0.8897 0.9974 Hg
0.5035 0.1103 0.0026 Hg
0.5035 0.3897 0.0026 Hg
0.6599 0.7500 0.3324 Hg
0.8401 0.2500 0.8324 Hg
0.9965 0.6103 0.5026 Hg
0.9965 0.8897 0.5026 Hg
```

Output
- E above lowest polymorph: 0.000 eV per atom
- Energy of formation: -0.34 eV/atom

***

Copy entry 2 word for word.
Material: BaInHg3
Method: DFT, PBE
State: relaxed

Geometry as POSCAR:
```
BaInHg3
1.0
6.5922 0.0000 0.0000
0.0000 14.0862 0.0000
0.0000 0.0000 6.4781
Ba In Hg
4 4 12
Direct
0.0000 0.0000 0.0000 Ba
0.0000 0.5000 0.0000 Ba
0.5000 0.0000 0.5000 Ba
0.5000 0.5000 0.5000 Ba
0.1889 0.2500 0.1762 In
0.3111 0.7500 0.6762 In
0.6889 0.2500 0.3238 In
0.8111 0.7500 0.8238 In
0.0035 0.1103 0.4974 Hg
0.0035 0.3897 0.4974 Hg
0.1599 0.7500 0.1676 Hg
0.3401 0.2500 0.6676 Hg
0.4965 0.6103 0.9974 Hg
0.4965 0.8897 0.9974 Hg
0.5035 0.1103 0.0026 Hg
0.5035 0.3897 0.0026 Hg
0.6599 0.7500 0.3324 Hg
0.8401 0.2500 0.8324 Hg
0.9965 0.6103 0.5026 Hg
0.9965 0.8897 0.5026 Hg
```

Output
- E above lowest polymorph: 0.000 eV per atom
- Energy of formation: -0.34 eV/atom